Entry 1:
This record from Alexandria describes crystalline Sm6Mg2Hg at its relaxed geometry. The functional is PBE-GGA.

Output
Crystal system: monoclinic

```
data_Sm6Mg2Hg
_symmetry_space_group_name_H-M 'C 1 2/m 1'
_symmetry_Int_Tables_number 12
_symmetry_space_group_name_Hall '-C 2y'
_cell_length_a 16.810
_cell_length_b 3.632
_cell_length_c 11.603
_cell_angle_alpha 90.00
_cell_angle_beta 129.27
_cell_angle_gamma 90.00
loop_
_atom_site_label
_atom_site_type_symbol
_atom_site_fract_x
_atom_site_fract_y
_atom_site_fract_z
Sm1 Sm 0.045 0.000 0.185
Sm2 Sm 0.178 0.500 0.540
Sm3 Sm 0.193 0.500 0.101
Mg1 Mg 0.091 0.500 0.746
Hg1 Hg 0.000 0.000 0.500
```

***

Entry 2:
This record from Alexandria describes crystalline Sm2MgHg at its relaxed geometry. The functional is PBE-GGA.

Output
Crystal system: cubic

```
data_Sm2MgHg
_symmetry_space_group_name_H-M 'F m -3 m'
_symmetry_Int_Tables_number 225
_symmetry_space_group_name_Hall '-F 4 2 3'
_cell_length_a 7.628
_cell_length_b 7.628
_cell_length_c 7.628
_cell_angle_alpha 90.00
_cell_angle_beta 90.00
_cell_angle_gamma 90.00
loop_
_atom_site_label
_atom_site_type_symbol
_atom_site_fract_x
_atom_site_fract_y
_atom_site_fract_z
Sm1 Sm 0.250 0.250 0.250
Mg1 Mg 0.000 0.000 0.000
Hg1 Hg 0.000 0.000 0.500
```

***

Number 1: total magnetization 0.000 μB/f.u., calculated formation energy -0.072 eV/atom. Number 2: total magnetization 0.545 μB/f.u., calculated formation energy -0.264 eV/atom.